Compound: Sr12Sb5N2
Source: Alexandria via LeMat-Bulk
Functional: PBE-GGA
Structure: optimized geometry

Geometry as POSCAR:
```
Sr12Sb5N2
1.0
8.185 0.000 0.000
-4.092 9.039 0.109
0.000 -3.057 9.817
Sb Sr N
5 12 2
Direct
0.315 0.630 0.161
0.000 0.000 0.500
0.691 0.381 0.347
0.309 0.619 0.653
0.685 0.370 0.839
0.903 0.303 0.575
0.097 0.697 0.425
0.400 0.303 0.575
0.904 0.311 0.077
0.600 0.697 0.425
0.499 0.997 0.827
0.001 0.003 0.832
0.501 0.003 0.173
0.096 0.689 0.923
0.594 0.689 0.923
0.999 0.997 0.168
0.406 0.311 0.077
0.751 0.000 0.000
0.249 0.000 0.000
```

ΔE_f (raw) = -0.7945 eV/atom
Mass density = 3.85 g/cm³

Compound: SrSbN2
Source: Alexandria via LeMat-Bulk
Functional: PBE-GGA
Structure: optimized geometry

Geometry as POSCAR:
```
SrSbN2
1.0
1.943 0.000 7.164
-0.971 1.682 7.164
-0.971 -1.682 7.164
N Sr Sb
2 1 1
Direct
0.883 0.883 0.883
0.117 0.117 0.117
0.000 0.000 0.000
0.500 0.500 0.500
```

ΔE_f (raw) = 0.4532 eV/atom
Mass density = 5.61 g/cm³

Compound: Sr2SbN
Source: Alexandria via LeMat-Bulk
Functional: PBE-GGA
Structure: optimized geometry

Geometry as POSCAR:
```
Sr2SbN
1.0
0.000 3.825 3.825
3.825 0.000 3.825
3.825 3.825 0.000
Sr N Sb
2 1 1
Direct
0.750 0.750 0.750
0.250 0.250 0.250
0.000 0.000 0.000
0.500 0.500 0.500
```

ΔE_f (raw) = 0.0124 eV/atom
Mass density = 4.61 g/cm³

Compound: SrSbN3
Source: Alexandria via LeMat-Bulk
Functional: PBE-GGA
Structure: optimized geometry

Geometry as POSCAR:
```
SrSbN3
1.0
4.423 0.000 0.000
0.000 4.423 0.000
0.000 0.000 4.423
Sr N Sb
1 3 1
Direct
0.000 0.000 0.000
0.000 0.000 0.500
0.500 0.000 0.000
0.000 0.500 0.000
0.500 0.500 0.500
```

ΔE_f (raw) = 2.1617 eV/atom
Mass density = 4.82 g/cm³

Compound: Sr9Sb3N2
Source: Alexandria via LeMat-Bulk
Functional: PBE-GGA
Structure: optimized geometry

Geometry as POSCAR:
```
Sr9Sb3N2
1.0
7.450 0.000 0.000
-3.725 6.452 0.000
0.000 0.000 9.122
Sb N Sr
3 2 9
Direct
0.000 0.000 0.000
0.333 0.667 0.333
0.667 0.333 0.667
0.667 0.333 0.170
0.333 0.667 0.830
0.828 0.172 0.325
0.345 0.172 0.325
0.655 0.828 0.675
0.500 0.500 0.000
0.000 0.500 0.000
0.500 0.000 0.000
0.172 0.828 0.675
0.172 0.345 0.675
0.828 0.655 0.325
```

ΔE_f (raw) = -0.8106 eV/atom
Mass density = 4.48 g/cm³

Compound: Sr8SbN2
Source: Alexandria via LeMat-Bulk
Functional: PBE-GGA
Structure: optimized geometry

Geometry as POSCAR:
```
Sr8SbN2
1.0
6.983 0.000 0.000
0.000 6.983 0.000
0.000 0.000 7.316
Sr Sb N
8 1 2
Direct
0.753 0.753 0.786
0.753 0.753 0.214
0.753 0.247 0.786
0.753 0.247 0.214
0.247 0.247 0.214
0.247 0.753 0.214
0.247 0.753 0.786
0.247 0.247 0.786
0.500 0.500 0.500
0.000 0.500 0.000
0.500 0.000 0.000
```

ΔE_f (raw) = -0.0954 eV/atom
Mass density = 3.96 g/cm³

Which of these has the lowest ΔE_f (raw)? Sr9Sb3N2

The highest mass density belongs to which entry? SrSbN2

Among the records above, which one has the lowest ΔE_f (raw)? Sr9Sb3N2

What is the mass density in the fourth record? 4.82 g/cm³